(1)
# Ca2AlPb SCAN single point on PBEsol structure
# ΔH_f (0 K) in eV/f.u.: -0.8
# Crystal system: tetragonal
data_Ca2AlPb
_cell_length_a 3.7116
_cell_length_b 3.7116
_cell_length_c 8.6314
_cell_angle_alpha 90.00
_cell_angle_beta 90.00
_cell_angle_gamma 90.00
_symmetry_space_group_name_H-M 'P 4 m m'
_symmetry_Int_Tables_number 99
_symmetry_space_group_name_Hall 'P 4 -2'
loop_
_atom_site_label
_atom_site_fract_x
_atom_site_fract_y
_atom_site_fract_z
Ca1 0.0000 0.0000 0.0000
Ca2 0.5000 0.5000 0.3480
Al1 0.5000 0.5000 0.7689
Pb1 0.0000 0.0000 0.5986

(2)
# CaAl2Pb SCAN single point on PBEsol structure
# ΔH_f (0 K) in eV/f.u.: -0.2
# Crystal system: orthorhombic
data_CaAl2Pb
_cell_length_a 6.1429
_cell_length_b 8.9416
_cell_length_c 3.4442
_cell_angle_alpha 90.00
_cell_angle_beta 90.00
_cell_angle_gamma 90.00
_symmetry_space_group_name_H-M 'C m m m'
_symmetry_Int_Tables_number 65
_symmetry_space_group_name_Hall '-C 2 2'
loop_
_atom_site_label
_atom_site_fract_x
_atom_site_fract_y
_atom_site_fract_z
Ca1 0.0000 0.0000 0.0000
Al1 0.2500 0.2500 0.5000
Pb1 0.0000 0.5000 0.0000

(3)
# CaAl2Pb2 SCAN single point on PBEsol structure
# ΔH_f (0 K) in eV/f.u.: -0.7
# Crystal system: tetragonal
data_CaAl2Pb2
_cell_length_a 4.1406
_cell_length_b 4.1406
_cell_length_c 15.1175
_cell_angle_alpha 90.00
_cell_angle_beta 90.00
_cell_angle_gamma 90.00
_symmetry_space_group_name_H-M 'I 4/m m m'
_symmetry_Int_Tables_number 139
_symmetry_space_group_name_Hall '-I 4 2'
loop_
_atom_site_label
_atom_site_fract_x
_atom_site_fract_y
_atom_site_fract_z
Ca1 0.0000 0.0000 0.0000
Al1 0.0000 0.5000 0.2500
Pb1 0.0000 0.0000 0.3858

(4)
# CaAl2Pb SCAN single point on PBEsol structure
# ΔH_f (0 K) in eV/f.u.: -0.3
# Crystal system: orthorhombic
data_CaAl2Pb
_cell_length_a 3.2289
_cell_length_b 5.0901
_cell_length_c 5.7439
_cell_angle_alpha 90.00
_cell_angle_beta 90.00
_cell_angle_gamma 90.00
_symmetry_space_group_name_H-M 'P m m m'
_symmetry_Int_Tables_number 47
_symmetry_space_group_name_Hall '-P 2 2'
loop_
_atom_site_label
_atom_site_fract_x
_atom_site_fract_y
_atom_site_fract_z
Ca1 0.0000 0.0000 0.0000
Al1 0.5000 0.5000 0.2355
Pb1 0.5000 0.0000 0.5000